# 1
# K2WS4 PBE relaxed
# E_form (uncorrected): -0.686 eV per atom
# Space group: No. 139
# Offset from the most stable computed form: 0.2969 eV/atom
# M_tot: 0.00 μB per atom
data_K2WS4
_chemical_formula_sum 'K2 W1 S4'
_cell_length_a 4.755
_cell_length_b 4.755
_cell_length_c 8.706
_cell_angle_alpha 74.15
_cell_angle_beta 74.15
_cell_angle_gamma 90.00
_symmetry_space_group_name_H-M 'P 1'
_symmetry_Int_Tables_number 1
loop_
_symmetry_equiv_pos_as_xyz
'x,y,z'
loop_
_atom_site_label
_atom_site_type_symbol
_atom_site_fract_x
_atom_site_fract_y
_atom_site_fract_z
K1 K 0.350 0.350 0.300
K2 K 0.650 0.650 0.700
S1 S 0.148 0.148 0.704
S2 S 0.852 0.852 0.296
S3 S 0.000 0.500 0.000
S4 S 0.500 0.000 0.000
W1 W 0.000 0.000 0.000


# 2
# AcPr2Tl2In2 PBE relaxed
# Electronic total energy: -25.38 eV/cell
# Space group: No. 166
# M_tot: 0.00 μB per atom
data_AcPr2Tl2In2
_chemical_formula_sum 'Ac1 Pr2 Tl2 In2'
_cell_length_a 5.130
_cell_length_b 5.130
_cell_length_c 10.308
_cell_angle_alpha 75.59
_cell_angle_beta 75.59
_cell_angle_gamma 60.00
_symmetry_space_group_name_H-M 'P 1'
_symmetry_Int_Tables_number 1
loop_
_symmetry_equiv_pos_as_xyz
'x,y,z'
loop_
_atom_site_label
_atom_site_type_symbol
_atom_site_fract_x
_atom_site_fract_y
_atom_site_fract_z
Ac1 Ac 0.000 0.000 0.000
Pr1 Pr 0.133 0.133 0.602
Pr2 Pr 0.867 0.867 0.398
Tl1 Tl 0.576 0.576 0.273
Tl2 Tl 0.424 0.424 0.727
In1 In 0.732 0.732 0.805
In2 In 0.268 0.268 0.195


# 3
# Ac2ZnCuAu6 PBE relaxed
# Electronic total energy: -37.19 eV/cell
# Space group: No. 71
# M_tot: 0.00 μB per atom
data_Ac2ZnCuAu6
_chemical_formula_sum 'Ac2 Zn1 Cu1 Au6'
_cell_length_a 6.989
_cell_length_b 6.993
_cell_length_c 6.989
_cell_angle_alpha 60.01
_cell_angle_beta 60.03
_cell_angle_gamma 89.94
_symmetry_space_group_name_H-M 'P 1'
_symmetry_Int_Tables_number 1
loop_
_symmetry_equiv_pos_as_xyz
'x,y,z'
loop_
_atom_site_label
_atom_site_type_symbol
_atom_site_fract_x
_atom_site_fract_y
_atom_site_fract_z
Ac1 Ac 0.750 0.250 0.500
Ac2 Ac 0.250 0.750 0.500
Zn1 Zn 0.500 0.500 0.000
Cu1 Cu 0.000 0.000 0.000
Au1 Au 0.249 0.249 0.503
Au2 Au 0.752 0.751 0.000
Au3 Au 0.249 0.751 0.000
Au4 Au 0.751 0.249 0.000
Au5 Au 0.248 0.249 0.000
Au6 Au 0.751 0.751 0.497


# 4
# BeCdCo PBE relaxed
# Space group: No. 156
# Offset from the most stable computed form: 0.2593 eV/atom
# M_tot: 0.36 μB per atom
data_BeCdCo
_chemical_formula_sum 'Be1 Cd1 Co1'
_cell_length_a 2.758
_cell_length_b 2.758
_cell_length_c 6.210
_cell_angle_alpha 90.00
_cell_angle_beta 90.00
_cell_angle_gamma 120.00
_symmetry_space_group_name_H-M 'P 1'
_symmetry_Int_Tables_number 1
loop_
_symmetry_equiv_pos_as_xyz
'x,y,z'
loop_
_atom_site_label
_atom_site_type_symbol
_atom_site_fract_x
_atom_site_fract_y
_atom_site_fract_z
Be1 Be 0.000 0.000 0.957
Co1 Co 0.333 0.667 0.709
Cd1 Cd 0.667 0.333 0.335